The following is a PBE-GGA calculation of an optimized crystal structure of KMgRe2, from Alexandria.

```
KMgRe2
1.0
3.118 0.000 0.000
0.000 3.118 0.000
0.000 0.000 9.381
Re Mg K
2 1 1
Direct
0.000 0.000 0.032 Re
0.500 0.500 0.170 Re
0.500 0.500 0.831 Mg
0.000 0.000 0.467 K
```

DFT formation energy   52.27 kJ per mole of atoms
Offset from the most stable computed form   0.0000 eV/atom
Total magnetic moment   0.40 μB/cell
V   91.2 Å³ per cell

---

The following is a PBE-GGA calculation of an optimized crystal structure of KMgRe2, from Alexandria.

```
KMgRe2
1.0
-0.032 -2.829 2.044
2.989 1.033 1.478
-3.952 3.867 5.291
K Mg Re
1 1 2
Direct
0.500 0.500 0.250 K
0.500 0.500 0.750 Mg
0.000 0.000 0.602 Re
0.000 0.000 0.898 Re
```

DFT formation energy   118.70 kJ per mole of atoms
Offset from the most stable computed form   0.6885 eV/atom
Total magnetic moment   0.01 μB/cell
V   93.2 Å³ per cell

---

The following is a PBE-GGA calculation of an optimized crystal structure of K2Mg2Re, from Alexandria.

```
K2Mg2Re
1.0
4.084 0.000 0.000
0.000 4.084 0.000
2.042 2.042 11.069
Mg K Re
2 2 1
Direct
0.250 0.750 0.500 Mg
0.750 0.250 0.500 Mg
0.404 0.404 0.192 K
0.596 0.596 0.808 K
0.000 0.000 0.000 Re
```

DFT formation energy   128.65 kJ per mole of atoms
Offset from the most stable computed form   0.0000 eV/atom
Total magnetic moment   3.82 μB/cell
V   184.6 Å³ per cell

---

The following is a PBE-GGA calculation of an optimized crystal structure of KMg2Re, from Alexandria.

```
KMg2Re
1.0
2.775 0.000 0.000
0.000 5.981 0.000
0.000 0.000 5.539
Mg K Re
2 1 1
Direct
0.500 0.500 0.000 Mg
0.000 0.000 0.000 Mg
0.000 0.500 0.500 K
0.500 0.000 0.500 Re
```

DFT formation energy   107.76 kJ per mole of atoms
Offset from the most stable computed form   0.5144 eV/atom
Total magnetic moment   0.98 μB/cell
V   92.0 Å³ per cell

---

Question: Which value of offset from the most stable computed form does entry 3 give?
Answer: 0.0000 eV/atom